Entry from Alexandria: a geometry-optimized Na2PrNiF8 structure (PBE with a Hubbard U).

```
12
Lattice="4.341 0.000 0.000 0.000 7.094 0.000 -0.234 0.000 5.406" Properties=species:S:1:pos:R:3 pbc="T T T"
Na 0.000 1.630 0.000
Na 0.000 5.463 0.000
Pr 2.054 3.547 2.703
Ni 2.054 0.000 2.703
F 0.149 3.547 1.373
F 0.591 0.000 1.558
F 1.497 1.526 3.854
F 1.497 5.568 3.854
F 2.610 1.526 1.551
F 2.610 5.568 1.551
F 3.517 0.000 3.848
F 3.958 3.547 4.032
```

Space group: P2/m (10)
Crystal system: monoclinic


Entry from Alexandria: a geometry-optimized NaNiPtF2 structure (PBE with a Hubbard U).

```
5
Lattice="4.481 0.000 0.000 0.000 4.481 0.000 0.000 0.000 4.763" Properties=species:S:1:pos:R:3 pbc="T T T"
Na 0.000 0.000 0.000
Ni 2.241 2.241 0.000
Pt 2.241 2.241 2.382
F 0.000 2.241 2.382
F 2.241 0.000 2.382
```

Space group: P4/mmm (123)
Crystal system: tetragonal


Entry from Alexandria: a geometry-optimized Na2Ni3PtF12 structure (PBE with a Hubbard U).

```
18
Lattice="3.551 2.050 6.252 -3.551 2.050 6.252 0.000 -4.100 6.252" Properties=species:S:1:pos:R:3 pbc="T T T"
Na 0.000 0.000 1.481
Na 0.000 0.000 17.274
Ni -1.776 -1.025 6.252
Ni -1.776 1.025 12.503
Ni 0.000 2.050 6.252
Pt 0.000 0.000 9.377
F 0.000 -1.743 5.739
F -1.509 0.871 5.739
F -1.427 -0.824 8.304
F -1.509 -0.871 13.016
F 0.000 -1.648 10.451
F -1.427 0.824 10.451
F 1.427 -0.824 8.304
F 0.000 1.648 8.304
F 1.509 0.871 5.739
F 1.427 0.824 10.451
F 1.509 -0.871 13.016
F 0.000 1.743 13.016
```

Space group: R-3m (166)
Crystal system: trigonal


Entry from Alexandria: a geometry-optimized Na2PuNiF8 structure (PBE with a Hubbard U).

```
12
Lattice="3.758 0.000 0.000 0.147 5.415 0.000 0.024 0.489 8.010" Properties=species:S:1:pos:R:3 pbc="T T T"
Na 0.031 0.313 1.704
Na 3.899 5.591 6.306
Pu 1.965 2.952 4.005
Ni 1.952 2.708 0.000
F 0.124 4.165 4.406
F 0.353 3.934 0.281
F 1.869 1.336 5.419
F 1.895 1.979 1.851
F 2.035 3.925 6.159
F 2.061 4.568 2.591
F 3.576 1.971 7.729
F 3.805 1.739 3.604
```

Space group: P-1 (2)
Crystal system: triclinic


What raw total energy values result from the calculations? In sequence: -4.8870, -3.0842, -4.1755, -5.7369 eV/atom.